20
Lattice="7.233 0.000 0.000 0.000 8.680 -1.152 0.000 -0.080 8.756" Properties=species:S:1:pos:R:3 comment="Tb6YPd3 | the Alexandria database | PBE | relaxed" magmom_total_mub_per_cell=0.00 formation_enthalpy_0k_mev_per_atom=-492.7 vol_a3_per_cell=549 pbc="T T T"
Tb 4.835 5.410 5.481
Tb 2.335 4.953 7.799
Tb 2.335 0.253 3.643
Tb 0.140 6.654 1.140
Tb 5.952 8.347 3.961
Tb 4.766 8.370 -0.801
Tb 1.218 6.102 4.698
Tb 4.835 2.498 2.907
Tb 1.150 0.230 8.405
Tb 5.952 3.647 -0.195
Tb 1.218 3.191 2.124
Tb 3.756 1.947 6.464
Y 3.894 5.878 2.018
Y 0.277 2.723 5.586
Pd 6.910 6.109 7.175
Pd 2.716 3.648 4.539
Pd 3.293 7.869 5.184
Pd 3.293 2.492 0.430
Pd 6.332 4.952 3.065
Pd 6.910 0.732 2.420